1.
# Ca2Cd9Pb, optimized geometry, DFT PBE
data_Ca2Cd9Pb
_symmetry_space_group_name_H-M 'P 63/m m c'
_symmetry_Int_Tables_number 194
_symmetry_space_group_name_Hall '-P 6c 2c'
_cell_length_a 6.0551
_cell_length_b 6.0551
_cell_length_c 19.2178
_cell_angle_alpha 90.00
_cell_angle_beta 90.00
_cell_angle_gamma 120.00
loop_
_atom_site_label
_atom_site_type_symbol
_atom_site_fract_x
_atom_site_fract_y
_atom_site_fract_z
_atom_site_occupancy
Ca1 Ca 0.3333 0.6667 0.0372 1
Cd1 Cd 0.0000 0.0000 0.0000 1
Cd2 Cd 0.0000 0.0000 0.2500 1
Cd3 Cd 0.1695 0.3391 0.6222 1
Cd4 Cd 0.3333 0.6667 0.7500 1
Pb1 Pb 0.3333 0.6667 0.2500 1
# N(E_F) (states/eV per atom): 0.392
# V (Å³ per atom): 25.43
# Energy relative to the elements (eV per atom): -0.145
# Theoretical density (g/cm³): 7.1


2.
# CaCdPb2, optimized geometry, DFT PBE
data_CaCdPb2
_symmetry_space_group_name_H-M 'I -4 2 d'
_symmetry_Int_Tables_number 122
_symmetry_space_group_name_Hall 'I -4 2bw'
_cell_length_a 4.780
_cell_length_b 4.780
_cell_length_c 22.147
_cell_angle_alpha 90.00
_cell_angle_beta 90.00
_cell_angle_gamma 90.00
loop_
_atom_site_label
_atom_site_type_symbol
_atom_site_fract_x
_atom_site_fract_y
_atom_site_fract_z
_atom_site_occupancy
Ca1 Ca 0.000 0.000 0.000 1
Cd1 Cd 0.000 0.000 0.500 1
Pb1 Pb 0.238 0.250 0.625 1
# N(E_F) (states/eV per atom): 0.693
# V (Å³ per atom): 31.63
# Energy relative to the elements (eV per atom): -0.111
# Theoretical density (g/cm³): 7.4